#1
Crystalline Ba6Tl3Cd at its relaxed geometry, computed with PBE.

## Properties
As for the space group: P2_1/c.

Cell and atoms, written as POSCAR:
```
Ba6Tl3Cd
1.0
-2.110 7.347 4.328
0.967 -4.621 8.315
10.931 4.201 1.064
Ba Tl Cd
12 6 2
direct
0.661 0.165 0.933
0.656 0.180 0.573
0.696 0.429 0.237
0.304 0.571 0.763
0.344 0.820 0.427
0.339 0.835 0.067
0.161 0.335 0.433
0.156 0.320 0.073
0.196 0.071 0.737
0.804 0.929 0.263
0.844 0.680 0.927
0.839 0.665 0.567
0.557 0.872 0.754
0.500 0.500 0.000
0.443 0.128 0.246
0.057 0.628 0.254
0.000 0.000 0.500
0.943 0.372 0.746
0.500 0.500 0.500
0.000 0.000 0.000
```



#2
Crystalline Ba6Tl3Cd at its relaxed geometry, computed with PBE.

## Properties
As for the space group: P2_1/m.

Cell and atoms, written as POSCAR:
```
Ba6Tl3Cd
1.0
6.070 0.000 0.000
0.000 10.081 -3.544
0.000 0.004 13.851
Ba Tl Cd
12 6 2
direct
0.250 0.479 0.090
0.750 0.521 0.910
0.250 0.126 0.149
0.750 0.874 0.851
0.250 0.654 0.671
0.750 0.346 0.329
0.250 0.252 0.501
0.750 0.748 0.499
0.250 0.839 0.324
0.750 0.161 0.676
0.250 0.118 0.868
0.750 0.882 0.132
0.250 0.528 0.372
0.750 0.472 0.628
0.250 0.394 0.778
0.750 0.606 0.222
0.250 0.772 0.972
0.750 0.228 0.028
0.250 0.957 0.602
0.750 0.043 0.398
```



Stability summary: most stable #2, least stable #1.



#1
Crystalline Ba2Tl3Cd2 at its relaxed geometry, computed with PBE.

## Properties
As for the space group: C2/m.

Cell and atoms, written as POSCAR:
```
Ba2Tl3Cd2
1.0
5.218 0.000 0.000
-2.609 6.204 0.247
0.000 -2.994 7.229
Ba Tl Cd
2 3 2
direct
0.851 0.703 0.227
0.149 0.297 0.773
0.500 0.000 0.000
0.606 0.213 0.437
0.394 0.787 0.563
0.850 0.700 0.749
0.150 0.300 0.251
```



#2
Crystalline Ba2Tl3Cd2 at its relaxed geometry, computed with PBE.

## Properties
As for the space group: Cmcm.

Cell and atoms, written as POSCAR:
```
Ba2Tl3Cd2
1.0
4.908 0.000 -1.170
0.000 8.435 0.000
0.168 0.000 11.582
Ba Tl Cd
4 6 4
direct
0.161 0.250 0.322
0.839 0.750 0.678
0.941 0.250 0.882
0.059 0.750 0.118
0.226 0.750 0.453
0.774 0.250 0.547
0.560 0.428 0.121
0.440 0.572 0.879
0.440 0.928 0.879
0.560 0.072 0.121
0.685 0.935 0.370
0.315 0.065 0.630
0.315 0.435 0.630
0.685 0.565 0.370
```



Stability summary: most stable #2, least stable #1.



#1
Crystalline BaTlCd2 at its relaxed geometry, computed with PBE.

## Properties
As for the space group: Fm-3m.

Cell and atoms, written as POSCAR:
```
BaTlCd2
1.0
0.000 3.960 3.960
3.960 0.000 3.960
3.960 3.960 0.000
Tl Ba Cd
1 1 2
direct
0.500 0.500 0.500
0.000 0.000 0.000
0.250 0.250 0.250
0.750 0.750 0.750
```



#2
Crystalline BaTlCd2 at its relaxed geometry, computed with PBE.

## Properties
As for the space group: Pmmm.

Cell and atoms, written as POSCAR:
```
BaTlCd2
1.0
5.290 0.000 0.000
0.000 5.035 0.000
0.000 0.000 4.908
Tl Ba Cd
1 1 2
direct
0.500 0.000 0.500
0.000 0.500 0.500
0.000 0.000 0.000
0.500 0.500 0.000
```



Stability summary: most stable #1, least stable #2.



#1
Crystalline BaTlCd2 at its relaxed geometry, computed with PBE.

## Properties
As for the space group: Imm2.

Cell and atoms, written as POSCAR:
```
BaTlCd2
1.0
5.523 -0.530 -0.359
0.506 5.525 0.359
-2.776 -2.785 3.930
Tl Ba Cd
1 1 2
direct
0.501 0.501 0.000
0.250 0.750 0.500
0.999 0.999 0.000
0.750 0.250 0.500
```



#2
Crystalline BaTlCd2 at its relaxed geometry, computed with PBE.

## Properties
As for the space group: Pmmm.

Cell and atoms, written as POSCAR:
```
BaTlCd2
1.0
5.356 0.000 0.000
0.000 4.040 -0.566
0.000 0.860 6.133
Tl Ba Cd
1 1 2
direct
0.500 0.250 0.250
0.500 0.750 0.750
0.000 0.250 0.001
0.000 0.250 0.499
```



#3
Crystalline BaTlCd2 at its relaxed geometry, computed with PBE.

## Properties
As for the space group: I-42d.

Cell and atoms, written as POSCAR:
```
BaTlCd2
1.0
-5.163 0.916 -0.838
-1.177 -2.470 4.551
-2.379 8.454 7.070
Tl Ba Cd
2 2 4
direct
0.000 0.000 0.000
0.750 0.250 0.500
0.500 0.500 0.000
0.250 0.750 0.500
0.761 0.125 0.250
0.989 0.625 0.250
0.375 0.239 0.750
0.875 0.011 0.750
```



#4
Crystalline BaTlCd2 at its relaxed geometry, computed with PBE.

## Properties
As for the space group: P2_1/m.

Cell and atoms, written as POSCAR:
```
BaTlCd2
1.0
-1.056 4.790 -1.243
-5.845 -3.684 1.067
0.136 2.156 8.192
Ba Tl Cd
2 2 4
direct
0.433 0.865 0.750
0.567 0.135 0.250
0.878 0.757 0.250
0.122 0.243 0.750
0.247 0.494 0.417
0.753 0.506 0.583
0.247 0.494 0.083
0.753 0.506 0.917
```



Stability summary: most stable #1, least stable #3.



#1
Crystalline BaTlCd2 at its relaxed geometry, computed with PBE.

## Properties
As for the space group: P4mm.

Cell and atoms, written as POSCAR:
```
BaTlCd2
1.0
3.923 0.016 0.000
-0.014 3.923 0.000
0.000 0.000 8.045
Tl Ba Cd
1 1 2
direct
0.000 0.000 0.456
0.500 0.500 0.755
0.000 0.000 0.051
0.500 0.500 0.238
```



#2
Crystalline BaTlCd2 at its relaxed geometry, computed with PBE.

## Properties
As for the space group: Cm.

Cell and atoms, written as POSCAR:
```
BaTlCd2
1.0
-1.333 3.158 3.648
-4.419 2.343 -0.217
-4.525 -2.750 4.192
Tl Ba Cd
1 1 2
direct
0.472 0.472 0.585
0.253 0.253 0.240
0.045 0.045 0.866
0.730 0.730 0.809
```



#3
Crystalline BaTlCd2 at its relaxed geometry, computed with PBE.

## Properties
As for the space group: C2/m.

Cell and atoms, written as POSCAR:
```
BaTlCd2
1.0
-2.590 -0.005 5.989
-3.012 -3.772 -4.391
0.925 -3.410 1.200
Tl Ba Cd
1 1 2
direct
0.500 0.000 0.500
0.000 0.500 0.500
0.000 0.000 0.000
0.500 0.500 0.000
```



Stability summary: most stable #2, least stable #3.



#1
Crystalline Ba8TlCd2 at its relaxed geometry, computed with PBE.

## Properties
As for the space group: C2/m.

Cell and atoms, written as POSCAR:
```
Ba8TlCd2
1.0
6.120 0.000 0.000
0.000 8.566 0.080
-3.060 -3.572 10.081
Ba Tl Cd
8 1 2
direct
0.406 0.555 0.811
0.668 0.964 0.337
0.799 0.689 0.597
0.968 0.204 0.936
0.201 0.311 0.403
0.332 0.036 0.663
0.594 0.445 0.189
0.032 0.796 0.064
0.500 0.000 0.000
0.817 0.298 0.633
0.183 0.702 0.367
```



#2
Crystalline Ba8TlCd2 at its relaxed geometry, computed with PBE.

## Properties
As for the space group: Immm.

Cell and atoms, written as POSCAR:
```
Ba8TlCd2
1.0
5.693 0.000 -1.732
-1.494 8.643 -4.909
0.073 0.107 10.457
Tl Ba Cd
1 8 2
direct
0.500 0.000 0.000
0.660 0.881 0.321
0.340 0.560 0.679
0.133 0.133 0.266
0.000 0.322 0.000
0.867 0.867 0.734
0.660 0.440 0.321
0.340 0.119 0.679
0.000 0.678 0.000
0.190 0.690 0.379
0.810 0.310 0.621
```



Stability summary: most stable #1, least stable #2.



#1
Crystalline Ba2Tl3Cd at its relaxed geometry, computed with PBE.

## Properties
As for the space group: Cm.

Cell and atoms, written as POSCAR:
```
Ba2Tl3Cd
1.0
4.924 0.000 2.062
2.248 6.240 1.543
0.053 -0.221 6.784
Ba Tl Cd
2 3 1
direct
0.540 0.209 0.710
0.457 0.792 0.294
0.844 0.606 0.707
0.830 0.230 0.109
0.161 0.773 0.906
0.168 0.391 0.273
```



#2
Crystalline Ba2Tl3Cd at its relaxed geometry, computed with PBE.

## Properties
As for the space group: Fmmm.

Cell and atoms, written as POSCAR:
```
Ba2Tl3Cd
1.0
6.809 -0.649 0.000
-0.913 6.779 0.000
-2.948 -3.065 9.298
Ba Tl Cd
4 6 2
direct
0.250 0.750 0.500
0.749 0.749 0.000
0.750 0.250 0.500
0.251 0.251 0.000
0.338 0.832 0.170
0.168 0.662 0.830
0.662 0.168 0.830
0.832 0.338 0.170
0.169 0.169 0.337
0.831 0.831 0.663
0.667 0.667 0.335
0.333 0.333 0.665
```



Stability summary: most stable #1, least stable #2.



#1
Crystalline Ba2Tl5Cd4 at its relaxed geometry, computed with PBE.

## Properties
As for the space group: Fmmm.

Cell and atoms, written as POSCAR:
```
Ba2Tl5Cd4
1.0
-2.088 6.505 2.017
0.225 1.988 6.401
7.227 6.291 -0.225
Ba Tl Cd
2 5 4
direct
0.860 0.000 0.280
0.140 0.000 0.720
0.500 0.000 0.000
0.000 0.500 0.000
0.500 0.500 0.000
0.250 0.500 0.500
0.750 0.500 0.500
0.518 0.257 0.707
0.482 0.743 0.293
0.225 0.257 0.293
0.775 0.743 0.707
```



#2
Crystalline Ba2Tl5Cd4 at its relaxed geometry, computed with PBE.

## Properties
As for the space group: Immm.

Cell and atoms, written as POSCAR:
```
Ba2Tl5Cd4
1.0
6.647 0.000 0.000
3.324 7.193 -0.778
3.324 0.974 7.168
Ba Tl Cd
2 5 4
direct
0.283 0.717 0.717
0.717 0.283 0.283
0.244 0.193 0.807
0.756 0.807 0.193
0.000 0.500 0.500
0.756 0.193 0.807
0.244 0.807 0.193
0.252 0.095 0.402
0.748 0.905 0.598
0.748 0.598 0.906
0.252 0.402 0.094
```



Stability summary: most stable #2, least stable #1.



#1
Crystalline BaTlCd4 at its relaxed geometry, computed with PBE.

## Properties
As for the space group: I4/mmm.

Cell and atoms, written as POSCAR:
```
BaTlCd4
1.0
9.523 1.865 -2.774
-4.838 7.742 -4.302
1.165 -1.865 9.850
Ba Tl Cd
4 4 16
direct
0.500 0.250 0.750
0.500 0.750 0.250
0.000 0.785 0.785
0.000 0.215 0.215
0.271 0.500 0.771
0.271 0.771 0.500
0.729 0.229 0.500
0.729 0.500 0.229
0.643 0.136 0.136
0.357 0.493 0.493
0.357 0.864 0.864
0.000 0.493 0.136
0.000 0.136 0.493
0.000 0.864 0.507
0.000 0.507 0.864
0.643 0.507 0.507
0.382 0.109 0.273
0.164 0.273 0.891
0.836 0.727 0.109
0.836 0.109 0.727
0.164 0.891 0.273
0.618 0.891 0.727
0.618 0.727 0.891
0.382 0.273 0.109
```



#2
Crystalline BaTlCd4 at its relaxed geometry, computed with PBE.

## Properties
As for the space group: F-43m.

Cell and atoms, written as POSCAR:
```
BaTlCd4
1.0
6.256 0.000 0.000
3.128 5.418 0.000
3.128 1.806 5.108
Ba Cd Tl
1 4 1
direct
0.000 0.000 0.000
0.126 0.625 0.625
0.625 0.625 0.625
0.625 0.126 0.625
0.625 0.625 0.126
0.250 0.250 0.250
```



#3
Crystalline BaTlCd4 at its relaxed geometry, computed with PBE.

## Properties
As for the space group: Cmcm.

Cell and atoms, written as POSCAR:
```
BaTlCd4
1.0
4.951 0.000 0.000
0.000 7.659 0.000
-2.476 0.000 9.168
Ba Tl Cd
2 2 8
direct
0.125 0.250 0.249
0.875 0.750 0.751
0.234 0.750 0.468
0.766 0.250 0.532
0.500 0.500 0.000
0.500 0.000 0.000
0.661 0.939 0.323
0.339 0.061 0.677
0.339 0.439 0.677
0.661 0.561 0.323
0.065 0.750 0.131
0.935 0.250 0.869
```



Stability summary: most stable #2, least stable #1.